Density functional theory data (SCAN) for a PBEsol-optimized structure of BaZn2W.

Properties
magnetic moment: 3.0 μB per formula unit
energy above the lowest structure with this stoichiometry: 56.4 kJ per mole of atoms
DFT formation energy: 1280.9 meV per atom

Cell lengths 6.946, 6.946, 6.946 Å; angles 90.00, 90.00, 90.00 degrees
Space group F-43m (No. 216)
Symmetry-distinct sites (fractional):
Ba 0.000 0.000 0.000 (multiplicity 4)
Zn 0.000 0.000 0.500 (multiplicity 4)
Zn 0.250 0.250 0.750 (multiplicity 4)
W 0.250 0.250 0.250 (multiplicity 4)



Density functional theory data (SCAN) for a PBEsol-optimized structure of BaZnW2.

Properties
magnetic moment: 0.0 μB per formula unit
DFT formation energy: 1204.8 meV per atom

Cell lengths 3.872, 4.116, 9.733 Å; angles 90.00, 90.00, 90.00 degrees
Space group Cmmm (No. 65)
Symmetry-distinct sites (fractional):
Ba 0.000 0.000 0.000 (multiplicity 2)
Zn 0.000 0.000 0.500 (multiplicity 2)
W 0.000 0.500 0.303 (multiplicity 4)



Density functional theory data (SCAN) for a PBEsol-optimized structure of BaZnW2.

Properties
magnetic moment: 0.0 μB per formula unit
DFT formation energy: 597.5 meV per atom

Cell lengths 3.297, 3.246, 7.905 Å; angles 90.00, 91.24, 90.00 degrees
Space group Pm (No. 6)
Symmetry-distinct sites (fractional):
Ba 0.000 0.000 0.000 (multiplicity 1)
Zn 0.493 0.500 0.680 (multiplicity 1)
W 0.507 0.500 0.332 (multiplicity 1)
W 0.982 0.000 0.487 (multiplicity 1)



Density functional theory data (SCAN) for a PBEsol-optimized structure of BaZnW2.

Properties
magnetic moment: 0.0 μB per formula unit
DFT formation energy: 846.6 meV per atom

Cell lengths 3.329, 4.855, 9.843 Å; angles 90.00, 90.00, 90.00 degrees
Space group Cmm2 (No. 35)
Symmetry-distinct sites (fractional):
Ba 0.000 0.000 0.000 (multiplicity 2)
Zn 0.000 0.500 0.292 (multiplicity 2)
W 0.000 0.000 0.505 (multiplicity 2)
W 0.000 0.500 0.703 (multiplicity 2)



Density functional theory data (SCAN) for a PBEsol-optimized structure of BaZrW2.

Properties
magnetic moment: 0.0 μB per formula unit
energy above the lowest structure with this stoichiometry: 54.1 kJ per mole of atoms
DFT formation energy: 1392.8 meV per atom

Cell lengths 5.839, 10.145, 2.906 Å; angles 90.00, 110.84, 90.00 degrees
Space group C2/m (No. 12)
Symmetry-distinct sites (fractional):
Ba 0.000 0.000 0.000 (multiplicity 2)
Zr 0.000 0.500 0.000 (multiplicity 2)
W 0.250 0.250 0.500 (multiplicity 4)



Density functional theory data (SCAN) for a PBEsol-optimized structure of BaZrW2.

Properties
magnetic moment: 0.0 μB per formula unit
energy above the lowest structure with this stoichiometry: 23.4 kJ per mole of atoms
DFT formation energy: 1075.0 meV per atom

Cell lengths 3.352, 4.785, 10.409 Å; angles 90.00, 90.00, 90.00 degrees
Space group Cmmm (No. 65)
Symmetry-distinct sites (fractional):
Ba 0.000 0.000 0.000 (multiplicity 2)
Zr 0.000 0.000 0.500 (multiplicity 2)
W 0.000 0.500 0.282 (multiplicity 4)



Density functional theory data (SCAN) for a PBEsol-optimized structure of BaZrW2.

Properties
magnetic moment: 0.0 μB per formula unit
energy above the lowest structure with this stoichiometry: 0.0 kJ per mole of atoms
DFT formation energy: 832.3 meV per atom

Cell lengths 8.190, 3.145, 7.700 Å; angles 90.00, 93.42, 90.00 degrees
Space group Cm (No. 8)
Symmetry-distinct sites (fractional):
Ba 0.000 0.000 0.000 (multiplicity 2)
Zr 0.280 0.500 0.367 (multiplicity 2)
W 0.013 0.500 0.556 (multiplicity 2)
W 0.237 0.000 0.693 (multiplicity 2)



Density functional theory data (SCAN) for a PBEsol-optimized structure of BaZrW2.

Properties
magnetic moment: 0.0 μB per formula unit
energy above the lowest structure with this stoichiometry: 6.8 kJ per mole of atoms
DFT formation energy: 903.3 meV per atom

Cell lengths 9.784, 3.283, 6.602 Å; angles 90.00, 94.40, 90.00 degrees
Space group C2/m (No. 12)
Symmetry-distinct sites (fractional):
Ba 0.000 0.000 0.000 (multiplicity 2)
Zr 0.000 0.500 0.500 (multiplicity 2)
W 0.240 0.000 0.636 (multiplicity 4)



Density functional theory data (SCAN) for a PBEsol-optimized structure of Ba2ZrW.

Properties
magnetic moment: 0.0 μB per formula unit
DFT formation energy: 1323.7 meV per atom

Cell lengths 7.553, 7.553, 7.553 Å; angles 90.00, 90.00, 90.00 degrees
Space group F-43m (No. 216)
Symmetry-distinct sites (fractional):
Ba 0.000 0.000 0.000 (multiplicity 4)
Ba 0.250 0.250 0.250 (multiplicity 4)
Zr 0.000 0.000 0.500 (multiplicity 4)
W 0.250 0.250 0.750 (multiplicity 4)



Density functional theory data (SCAN) for a PBEsol-optimized structure of Ba3Y.

Properties
magnetic moment: 0.0 μB per formula unit
DFT formation energy: 249.0 meV per atom

Cell lengths 4.002, 6.555, 7.136 Å; angles 90.00, 90.00, 90.00 degrees
Space group Pmm2 (No. 25)
Symmetry-distinct sites (fractional):
Ba 0.000 0.000 0.000 (multiplicity 1)
Ba 0.000 0.500 0.332 (multiplicity 1)
Ba 0.500 0.000 0.521 (multiplicity 1)
Y 0.500 0.500 0.829 (multiplicity 1)



Density functional theory data (SCAN) for a PBEsol-optimized structure of BaY2Zn.

Properties
magnetic moment: 0.0 μB per formula unit
DFT formation energy: 220.4 meV per atom

Cell lengths 4.860, 4.860, 4.993 Å; angles 90.00, 90.00, 90.00 degrees
Space group P4/mmm (No. 123)
Symmetry-distinct sites (fractional):
Ba 0.000 0.000 0.000 (multiplicity 1)
Y 0.000 0.500 0.500 (multiplicity 2)
Zn 0.500 0.500 0.000 (multiplicity 1)



Density functional theory data (SCAN) for a PBEsol-optimized structure of BaY2Zn.

Properties
magnetic moment: 0.0 μB per formula unit
DFT formation energy: 258.1 meV per atom

Cell lengths 6.740, 11.822, 3.505 Å; angles 90.00, 119.21, 90.00 degrees
Space group C2/m (No. 12)
Symmetry-distinct sites (fractional):
Ba 0.000 0.000 0.000 (multiplicity 2)
Y 0.250 0.250 0.500 (multiplicity 4)
Zn 0.000 0.500 0.000 (multiplicity 2)